(1)
# PBE PuPaCl5, relaxed
data_PuPaCl5
_space_group_name_H-M_alt 'P 1 21/m 1'
_space_group_IT_number 11
_cell_length_a 8.2285
_cell_length_b 3.8573
_cell_length_c 13.1580
_cell_angle_alpha 90.00
_cell_angle_beta 96.36
_cell_angle_gamma 90.00
loop_
_space_group_symop_operation_xyz
'x,y,z'
'-x,-y,-z'
'-x,y+1/2,-z'
'x,-y+1/2,z'
loop_
_atom_site_label
_atom_site_type_symbol
_atom_site_fract_x
_atom_site_fract_y
_atom_site_fract_z
_atom_site_occupancy
Pu1 Pu 0.1000 0.2500 0.1449 1
Pa1 Pa 0.4202 0.7500 0.3429 1
Cl1 Cl 0.0784 0.7500 0.3053 1
Cl2 Cl 0.1381 0.2500 0.9306 1
Cl3 Cl 0.3221 0.2500 0.4846 1
Cl4 Cl 0.3518 0.7500 0.1306 1
Cl5 Cl 0.3642 0.7500 0.7096 1
# DOS at the Fermi energy (states/eV/f.u.): 10.85


(2)
# PBE PuPaCl6, relaxed
data_PuPaCl6
_space_group_name_H-M_alt 'P -3 1 c'
_space_group_IT_number 163
_space_group_name_Hall '-P 3 2c'
_cell_length_a 6.8755
_cell_length_b 6.8755
_cell_length_c 12.7990
_cell_angle_alpha 90.00
_cell_angle_beta 90.00
_cell_angle_gamma 120.00
loop_
_atom_site_label
_atom_site_type_symbol
_atom_site_fract_x
_atom_site_fract_y
_atom_site_fract_z
_atom_site_occupancy
Pu1 Pu 0.3333 0.6667 0.2500 1
Pa1 Pa 0.0000 0.0000 0.0000 1
Cl1 Cl 0.0096 0.3251 0.1219 1
# DOS at the Fermi energy (states/eV/f.u.): 19.68


(3)
# PBE Pu2PaCl8, relaxed
data_Pu2PaCl8
_space_group_name_H-M_alt 'C 1 2/m 1'
_space_group_IT_number 12
_cell_length_a 18.1150
_cell_length_b 4.7147
_cell_length_c 6.7402
_cell_angle_alpha 90.00
_cell_angle_beta 107.12
_cell_angle_gamma 90.00
loop_
_space_group_symop_operation_xyz
'x,y,z'
'-x,-y,-z'
'-x,y,-z'
'x,-y,z'
'x+1/2,y+1/2,z'
'-x+1/2,-y+1/2,-z'
'-x+1/2,y+1/2,-z'
'x+1/2,-y+1/2,z'
loop_
_atom_site_label
_atom_site_type_symbol
_atom_site_fract_x
_atom_site_fract_y
_atom_site_fract_z
_atom_site_occupancy
Pu1 Pu 0.1872 0.0000 0.1972 1
Pa1 Pa 0.0000 0.5000 0.5000 1
Cl1 Cl 0.0371 0.0000 0.3073 1
Cl2 Cl 0.0907 0.5000 0.9155 1
Cl3 Cl 0.1635 0.5000 0.4592 1
Cl4 Cl 0.2176 0.0000 0.8148 1
# DOS at the Fermi energy (states/eV/f.u.): 36.60


(4)
# PBE Rb6PaCl12, relaxed
data_Rb6PaCl12
_space_group_name_H-M_alt 'R -3'
_space_group_IT_number 148
_space_group_name_Hall '-R 3'
_cell_length_a 14.1895
_cell_length_b 14.1895
_cell_length_c 13.9878
_cell_angle_alpha 90.00
_cell_angle_beta 90.00
_cell_angle_gamma 120.00
loop_
_atom_site_label
_atom_site_type_symbol
_atom_site_fract_x
_atom_site_fract_y
_atom_site_fract_z
_atom_site_occupancy
Rb1 Rb 0.0415 0.2476 0.1304 1
Pa1 Pa 0.0000 0.0000 0.5000 1
Cl1 Cl 0.0382 0.2383 0.8979 1
Cl2 Cl 0.0511 0.1675 0.3956 1
# DOS at the Fermi energy (states/eV/f.u.): 9.31


| no. | mass density (Mg/m³) | formation energy (no corrections) (eV/atom) | VASP energy (eV/atom) |
| --- | --- | --- | --- |
| 1 | 5.2 | -1.777 | -6.500 |
| 2 | 4.4 | -1.850 | -6.213 |
| 3 | 6.1 | -1.766 | -6.578 |
| 4 | 2.4 | -1.774 | -3.746 |